Entry from Alexandria: a geometry-optimized BaVGeO6 structure (GGA+U).

```
BaVGeO6
1.0
5.166 0.000 0.000
-2.583 4.474 0.000
0.000 0.000 5.657
Ba V Ge O
1 1 1 6
Direct
0.000 0.000 0.000
0.333 0.667 0.500
0.667 0.333 0.500
0.002 0.402 0.689
0.002 0.601 0.311
0.399 0.402 0.311
0.399 0.998 0.689
0.598 0.601 0.689
0.598 0.998 0.311
```

**Raw total energy**: -6.717 eV/atom
**Fermi-level density of states**: 7.6 states/eV per cell
**ρ**: 4.53 g/cm³